# PBE CdCu15, relaxed
data_CdCu15
_space_group_name_H-M_alt 'P c c m'
_space_group_IT_number 49
_cell_length_a 7.244
_cell_length_b 41.642
_cell_length_c 3.629
_cell_angle_alpha 90.00
_cell_angle_beta 90.00
_cell_angle_gamma 90.00
loop_
_space_group_symop_operation_xyz
'x,y,z'
'-x,-y,-z'
'-x,-y,z'
'x,y,-z'
'x,-y,-z+1/2'
'-x,y,z+1/2'
'-x,y,-z+1/2'
'x,-y,z+1/2'
loop_
_atom_site_label
_atom_site_fract_x
_atom_site_fract_y
_atom_site_fract_z
Cd1 0.153 0.163 0.000
Cu1 0.122 0.220 0.500
Cu2 0.122 0.264 0.000
Cu3 0.124 0.307 0.500
Cu4 0.125 0.350 0.000
Cu5 0.125 0.393 0.500
Cu6 0.125 0.436 0.000
Cu7 0.125 0.479 0.500
Cu8 0.369 0.222 0.000
Cu9 0.373 0.264 0.500
Cu10 0.374 0.307 0.000
Cu11 0.375 0.350 0.500
Cu12 0.375 0.393 0.000
Cu13 0.375 0.436 0.500
Cu14 0.375 0.479 0.000
Cu15 0.391 0.180 0.500
# - relative energy among the computed polymorphs (kJ/mol of formula units) = 4.0
# - E_form (eV/atom) = 0.0518
# - E_tot (eV/atom) = -3.49